PmO2 after structural relaxation, computed with PBE-GGA.

abc: 10.0099 10.0099 10.0099
angles: 90.00 90.00 90.00
Space group Fd-3m (No. 227, origin choice 2)
Inequivalent atoms, fractional coordinates:
Pm (0.1250, 0.1250, 0.1250) x8
O (0.0000, 0.0000, 0.0000) x16

Mass density: 2.344 g/cm³
Energy relative to the lowest polymorph listed for this composition: 336 meV/atom
DFT total energy: -6.9761 eV per atom